# 1
A relaxed TmBr crystal. Source: the Alexandria database, functional PBE. Values from VASP.

Geometry as Quantum ESPRESSO input:
```
&SYSTEM
  ibrav = 0, nat = 4, ntyp = 2
/
ATOMIC_SPECIES
Tm 168.93 Tm.upf
Br 79.90 Br.upf
CELL_PARAMETERS angstrom
3.6288 0.0000 0.0000
-1.8144 3.1426 0.0000
0.0000 0.0000 9.8938
ATOMIC_POSITIONS angstrom
Tm 1.8144 1.0475 8.2252
Tm 0.0000 2.0951 3.2783
Br 1.8144 1.0475 5.3788
Br 0.0000 2.0951 0.4319
```

Properties
Formation energy (no corrections) (eV/atom): -0.945
M_tot (μB/f.u.): 0.0
Theoretical density (g/cm³): 7.32

# 2
A relaxed Pr2SnMoN5 crystal. Source: the Alexandria database, functional PBE. Values from VASP.

Geometry as Quantum ESPRESSO input:
```
&SYSTEM
  ibrav = 0, nat = 18, ntyp = 4
/
ATOMIC_SPECIES
Pr 140.91 Pr.upf
Sn 118.71 Sn.upf
Mo 95.94 Mo.upf
N 14.01 N.upf
CELL_PARAMETERS angstrom
-1.5865 -1.9432 -2.3465
6.5834 2.1208 -3.6932
4.8254 -8.4601 3.7434
ATOMIC_POSITIONS angstrom
Pr 7.4266 -7.0881 -1.6655
Pr 4.5549 -5.4387 1.4243
Pr 3.0974 -2.4243 -0.0865
Pr 4.5290 -1.5490 -4.2934
Sn 5.0755 -4.8626 -1.9189
Sn 2.6897 0.1869 -1.9733
Mo 4.1983 -8.7856 1.9229
Mo 7.4086 -2.6254 -2.8349
N 4.0713 0.8022 -3.4169
N 5.4087 -8.1832 0.6056
N 9.4309 -5.4197 -1.8881
N 6.5637 -5.0550 -0.2516
N 7.3185 -4.1613 -4.0162
N 3.3444 -4.8652 -0.7464
N 5.8270 -2.5771 -1.8055
N 0.6254 -3.2727 -0.2268
N 2.5357 -1.9597 -2.6056
N 0.1843 -0.0543 -0.0796
```

Properties
Formation energy (no corrections) (eV/atom): -0.571
M_tot (μB/f.u.): 0.0
Theoretical density (g/cm³): 6.86

# 3
A relaxed Al2NiPd5 crystal. Source: the Alexandria database, functional PBE. Values from VASP.

Geometry as Quantum ESPRESSO input:
```
&SYSTEM
  ibrav = 0, nat = 16, ntyp = 3
/
ATOMIC_SPECIES
Al 26.98 Al.upf
Ni 58.69 Ni.upf
Pd 106.42 Pd.upf
CELL_PARAMETERS angstrom
3.9900 0.0000 0.0000
0.0000 5.3981 0.0000
0.0000 0.0000 10.6982
ATOMIC_POSITIONS angstrom
Al 1.9950 1.5961 3.9551
Al 1.9950 3.8020 6.7431
Al 1.9950 1.1030 9.3042
Al 1.9950 4.2951 1.3940
Ni 0.0000 0.0000 5.3491
Ni 0.0000 2.6990 0.0000
Pd 1.9950 1.5813 1.2163
Pd 1.9950 3.8168 9.4819
Pd 1.9950 4.2803 4.1328
Pd 1.9950 1.1178 6.5655
Pd 0.0000 5.0200 7.8967
Pd 0.0000 0.3781 2.8015
Pd 0.0000 2.3210 8.1506
Pd 0.0000 3.0771 2.5476
Pd 0.0000 2.6990 5.3491
Pd 0.0000 0.0000 0.0000
```

Properties
Formation enthalpy at 0 K (kJ/mol of formula units): -448
M_tot (μB/f.u.): 0.9
Theoretical density (g/cm³): 9.29

# 4
A relaxed TaIr2Br crystal. Source: the Alexandria database, functional PBE. Values from VASP.

Geometry as Quantum ESPRESSO input:
```
&SYSTEM
  ibrav = 0, nat = 4, ntyp = 3
/
ATOMIC_SPECIES
Ir 192.22 Ir.upf
Br 79.90 Br.upf
Ta 180.95 Ta.upf
CELL_PARAMETERS angstrom
2.9690 0.0000 0.0000
0.0000 3.7187 0.0000
0.0000 0.0000 7.6539
ATOMIC_POSITIONS angstrom
Ir 0.0000 0.0000 0.9011
Ir 1.4845 1.8593 1.8899
Br 1.4845 1.8593 5.2583
Ta 0.0000 0.0000 3.4317
```

Properties
Formation energy (no corrections) (eV/atom): 0.355
M_tot (μB/f.u.): 0.0
Distance to the lowest polymorph of the same formula (meV/atom): 404
Theoretical density (g/cm³): 12.68

# 5
A relaxed Pr2CdPd5Au2 crystal. Source: the Alexandria database, functional PBE. Values from VASP.

Geometry as Quantum ESPRESSO input:
```
&SYSTEM
  ibrav = 0, nat = 20, ntyp = 4
/
ATOMIC_SPECIES
Pr 140.91 Pr.upf
Cd 112.41 Cd.upf
Pd 106.42 Pd.upf
Au 196.97 Au.upf
CELL_PARAMETERS angstrom
4.1611 0.0000 0.0000
0.0000 9.8525 0.0000
0.0000 0.0000 9.8525
ATOMIC_POSITIONS angstrom
Pr 0.0000 6.6439 1.7176
Pr 0.0000 3.2086 8.1349
Pr 0.0000 1.7176 3.2086
Pr 0.0000 8.1349 6.6439
Cd 0.0000 0.0000 0.0000
Cd 0.0000 4.9263 4.9263
Pd 2.0805 1.9666 0.6328
Pd 2.0805 7.8859 9.2198
Pd 2.0805 0.6328 7.8859
Pd 2.0805 6.8929 4.2935
Pd 2.0805 9.2198 1.9666
Pd 2.0805 2.9596 5.5591
Pd 2.0805 5.5591 6.8929
Pd 2.0805 4.2935 2.9596
Pd 2.0805 4.9263 0.0000
Pd 2.0805 0.0000 4.9263
Au 0.0000 1.2130 6.1393
Au 0.0000 8.6395 3.7133
Au 0.0000 6.1393 8.6395
Au 0.0000 3.7133 1.2130
```

Properties
Formation enthalpy at 0 K (kJ/mol of formula units): -564
M_tot (μB/f.u.): 0.0
Theoretical density (g/cm³): 10.86

# 6
A relaxed Ta5Mo crystal. Source: the Alexandria database, functional PBE. Values from VASP.

Geometry as Quantum ESPRESSO input:
```
&SYSTEM
  ibrav = 0, nat = 6, ntyp = 2
/
ATOMIC_SPECIES
Mo 95.94 Mo.upf
Ta 180.95 Ta.upf
CELL_PARAMETERS angstrom
7.3753 -0.0211 0.0000
-5.9049 4.4191 0.0000
0.0000 0.0000 3.2925
ATOMIC_POSITIONS angstrom
Mo 0.0000 0.0000 0.0000
Ta -3.7796 3.7085 1.6463
Ta -1.5299 2.9563 0.0000
Ta 0.7352 2.1990 1.6463
Ta 3.0004 1.4417 0.0000
Ta 5.2501 0.6895 1.6463
```

Properties
Formation enthalpy at 0 K (kJ/mol of formula units): -35
M_tot (μB/f.u.): 0.0
Distance to the lowest polymorph of the same formula (meV/atom): 13
Theoretical density (g/cm³): 15.54

Density of states at the Fermi level for the records above, in order: 1.31 3.16 12.93 4.20 7.11 8.39 states/eV/cell
DFT total energy for the records above, in order: -16.07 -142.32 -87.75 -29.83 -97.67 -70.46 eV for the cell shown